Entry 1:
Compound: Ta4BiS8
Source: Alexandria
Functional: PBE-GGA
Structure: relaxed

Cell lengths 8.6145, 8.6145, 8.6145 Å; angles 45.66, 45.66, 45.66 degrees
Closest atoms and distances in Å follow each position.
Positions (direct):
Ta: 0.0000 0.0000 0.0000  6 S 2.52
Ta: 0.0000 0.5000 0.5000  6 S 2.48-2.49
Ta: 0.5000 0.0000 0.5000  6 S 2.48-2.49
Ta: 0.5000 0.5000 0.0000  6 S 2.48-2.49
Bi: 0.5000 0.5000 0.5000  6 S 2.96
S: 0.2375 0.2375 0.7304  3 Ta 2.49-2.52
S: 0.2375 0.7304 0.2375  3 Ta 2.49-2.52
S: 0.2659 0.2659 0.2659  3 Ta 2.48
S: 0.2696 0.7625 0.7625  3 Ta 2.49-2.52
S: 0.7304 0.2375 0.2375  3 Ta 2.49-2.52
S: 0.7341 0.7341 0.7341  3 Ta 2.48
S: 0.7625 0.2696 0.7625  3 Ta 2.49-2.52
S: 0.7625 0.7625 0.2696  3 Ta 2.49-2.52

Results
Spin magnetization ... 0.0 μB per formula unit
VASP energy ... -7.3212 eV per atom
E_form (uncorrected) ... -1048 kJ/mol of formula units
Volume ... 298 Å³/cell

Entry 2:
Compound: PmNb2B6
Source: Alexandria
Functional: PBE-GGA
Structure: relaxed

Cell lengths 5.5159, 5.5159, 3.5796 Å; angles 90.00, 90.00, 120.00 degrees
Closest atoms and distances in Å follow each position.
Positions (direct):
Pm: 0.0000 0.0000 0.0000  12 B 2.60
Nb: 0.3333 0.6667 0.0000  12 B 2.55
Nb: 0.6667 0.3333 0.0000  12 B 2.55
B: 0.0000 0.3419 0.5000  3 B 1.74-1.89
B: 0.0000 0.6581 0.5000  3 B 1.74-1.89
B: 0.3419 0.0000 0.5000  3 B 1.74-1.89
B: 0.3419 0.3419 0.5000  3 B 1.74-1.89
B: 0.6581 0.0000 0.5000  3 B 1.74-1.89
B: 0.6581 0.6581 0.5000  3 B 1.74-1.89

Results
Spin magnetization ... 0.0 μB per formula unit
VASP energy ... -7.7804 eV per atom
Energy of formation from the pure elements ... -563 meV/atom
Volume ... 94 Å³/cell

Entry 3:
Compound: LaAsW2
Source: Alexandria
Functional: PBE-GGA
Structure: relaxed

Cell lengths 5.9306, 5.9306, 5.9306 Å; angles 140.45, 140.45, 57.18 degrees
Closest atoms and distances in Å follow each position.
Positions (direct):
La: 0.0000 0.0000 0.0000  4 As 2.84
As: 0.5000 0.5000 0.0000  4 La 2.84
W: 0.2500 0.7500 0.5000  4 W 2.84
W: 0.7500 0.2500 0.5000  4 W 2.84

Results
Spin magnetization ... 0.0 μB per formula unit
VASP energy ... -8.1974 eV per atom
Energy of formation from the pure elements ... 673 meV/atom
Volume ... 84 Å³/cell

Entry 4:
Compound: CaAsP2
Source: Alexandria
Functional: PBE-GGA
Structure: relaxed

Cell lengths 5.3456, 5.3456, 5.3456 Å; angles 141.65, 123.36, 70.48 degrees
Closest atoms and distances in Å follow each position.
Positions (direct):
Ca: 0.0000 0.0000 0.0000  8 P 3.08-3.13, 4 As 3.08
As: 0.5000 0.5000 0.0000  4 P 2.54
P: 0.2897 0.7897 0.5000  2 As 2.54
P: 0.7103 0.2103 0.5000  2 As 2.54

Results
Spin magnetization ... 0.0 μB per formula unit
VASP energy ... -4.5433 eV per atom
Energy of formation from the pure elements ... -176 meV/atom
Volume ... 78 Å³/cell

Entry 5:
Compound: Pr12Er6Tm
Source: Alexandria
Functional: PBE-GGA
Structure: relaxed

Cell lengths 8.7143, 8.7143, 8.7143 Å; angles 88.90, 88.90, 88.90 degrees
Closest atoms and distances in Å follow each position.
Positions (direct):
Pr: 0.0187 0.1908 0.3643  4 Pr 3.49-3.66, 4 Er 3.55-3.74, 1 Tm 3.62
Pr: 0.1908 0.3643 0.0187  4 Pr 3.49-3.66, 4 Er 3.55-3.74, 1 Tm 3.62
Pr: 0.2167 0.4642 0.5666  3 Er 3.39-3.54, 4 Pr 3.40-3.66
Pr: 0.3643 0.0187 0.1908  4 Pr 3.49-3.66, 4 Er 3.55-3.74, 1 Tm 3.62
Pr: 0.4334 0.7833 0.5358  3 Er 3.39-3.54, 4 Pr 3.40-3.66
Pr: 0.4642 0.5666 0.2167  3 Er 3.39-3.54, 4 Pr 3.40-3.66
Pr: 0.5358 0.4334 0.7833  3 Er 3.39-3.54, 4 Pr 3.40-3.66
Pr: 0.5666 0.2167 0.4642  3 Er 3.39-3.54, 4 Pr 3.40-3.66
Pr: 0.6357 0.9813 0.8092  4 Pr 3.49-3.66, 4 Er 3.55-3.74, 1 Tm 3.62
Pr: 0.7833 0.5358 0.4334  3 Er 3.39-3.54, 4 Pr 3.40-3.66
Pr: 0.8092 0.6357 0.9813  4 Pr 3.49-3.66, 4 Er 3.55-3.74, 1 Tm 3.62
Pr: 0.9813 0.8092 0.6357  4 Pr 3.49-3.66, 4 Er 3.55-3.74, 1 Tm 3.62
Er: 0.1002 0.7073 0.2583  7 Pr 3.39-3.74, 1 Tm 3.48, 2 Er 3.53
Er: 0.2583 0.1002 0.7073  7 Pr 3.39-3.74, 1 Tm 3.48, 2 Er 3.53
Er: 0.2927 0.7417 0.8998  7 Pr 3.39-3.74, 1 Tm 3.48, 2 Er 3.53
Er: 0.7073 0.2583 0.1002  7 Pr 3.39-3.74, 1 Tm 3.48, 2 Er 3.53
Er: 0.7417 0.8998 0.2927  7 Pr 3.39-3.74, 1 Tm 3.48, 2 Er 3.53
Er: 0.8998 0.2927 0.7417  7 Pr 3.39-3.74, 1 Tm 3.48, 2 Er 3.53
Tm: 0.0000 0.0000 0.0000  6 Er 3.48, 6 Pr 3.62

Results
Spin magnetization ... 0.0 μB per formula unit
VASP energy ... -4.5669 eV per atom
Energy of formation from the pure elements ... 128 meV/atom
Volume ... 661 Å³/cell

Entry 6:
Compound: Ti2NbIrPt
Source: Alexandria
Functional: PBE-GGA
Structure: relaxed

Cell lengths 4.5589, 4.5589, 5.0257 Å; angles 90.00, 90.00, 90.00 degrees
Closest atoms and distances in Å follow each position.
Positions (direct):
Ti: 0.0000 0.5000 0.0000  2 Ir 2.28
Ti: 0.5000 0.0000 0.0000  2 Ir 2.28
Nb: 0.0000 0.0000 0.5000  4 Pt 3.22, 8 Ti 3.39
Ir: 0.5000 0.5000 0.0000  4 Ti 2.28, 2 Pt 2.51
Pt: 0.5000 0.5000 0.5000  2 Ir 2.51

Results
Spin magnetization ... 2.2 μB per formula unit
VASP energy ... -7.4961 eV per atom
Energy of formation from the pure elements ... 656 meV/atom
Volume ... 104 Å³/cell